(1)
Compound: LiPrNdCo
Source: the Alexandria database
Functional: PBE
Structure: optimized geometry

Cell lengths 7.1472, 7.1472, 7.1472 Å; angles 90.00, 90.00, 90.00 degrees
Last column: nearest neighbours and their distance in Å.
Space group F-43m (No. 216)
One atom of each set of equivalent atoms:
Li1 0.0000 0.0000 0.0000 [4 per cell]  4 Pr 3.09, 4 Nd 3.09
Pr1 0.2500 0.2500 0.7500 [4 per cell]  4 Li 3.09, 4 Co 3.09
Nd1 0.2500 0.2500 0.2500 [4 per cell]  4 Li 3.09, 4 Co 3.09
Co1 0.0000 0.0000 0.5000 [4 per cell]  4 Nd 3.09, 4 Pr 3.09

Summary:
V in Å³/cell: 365.1
M_tot in Bohr magnetons per cell: 0.00
Uncorrected energy in eV per atom: -4.582
Energy of formation from the pure elements in eV/atom: 0.060



(2)
Compound: LiNdScCo
Source: the Alexandria database
Functional: PBE
Structure: optimized geometry

Cell lengths 6.7915, 6.7915, 6.7915 Å; angles 90.00, 90.00, 90.00 degrees
Last column: nearest neighbours and their distance in Å.
Space group F-43m (No. 216)
One atom of each set of equivalent atoms:
Li1 0.0000 0.0000 0.0000 [4 per cell]  4 Nd 2.94, 4 Sc 2.94
Nd1 0.2500 0.2500 0.2500 [4 per cell]  4 Li 2.94, 4 Co 2.94
Sc1 0.2500 0.2500 0.7500 [4 per cell]  4 Li 2.94, 4 Co 2.94
Co1 0.0000 0.0000 0.5000 [4 per cell]  4 Nd 2.94, 4 Sc 2.94

Summary:
V in Å³/cell: 313.3
M_tot in Bohr magnetons per cell: 0.00
Uncorrected energy in eV per atom: -5.052
Energy of formation from the pure elements in eV/atom: -0.022



(3)
Compound: LiTbNdCo
Source: the Alexandria database
Functional: PBE
Structure: optimized geometry

Cell lengths 7.0139, 7.0139, 7.0139 Å; angles 90.00, 90.00, 90.00 degrees
Last column: nearest neighbours and their distance in Å.
Space group F-43m (No. 216)
One atom of each set of equivalent atoms:
Li1 0.0000 0.0000 0.0000 [4 per cell]  4 Nd 3.04, 4 Tb 3.04
Tb1 0.2500 0.2500 0.2500 [4 per cell]  4 Li 3.04, 4 Co 3.04
Nd1 0.2500 0.2500 0.7500 [4 per cell]  4 Co 3.04, 4 Li 3.04
Co1 0.0000 0.0000 0.5000 [4 per cell]  4 Tb 3.04, 4 Nd 3.04

Summary:
V in Å³/cell: 345.0
M_tot in Bohr magnetons per cell: 0.00
Uncorrected energy in eV per atom: -4.609
Energy of formation from the pure elements in eV/atom: -0.004



(4)
Compound: LiNdYCo
Source: the Alexandria database
Functional: PBE
Structure: optimized geometry

Cell lengths 7.0128, 7.0128, 7.0128 Å; angles 90.00, 90.00, 90.00 degrees
Last column: nearest neighbours and their distance in Å.
Space group F-43m (No. 216)
One atom of each set of equivalent atoms:
Li1 0.0000 0.0000 0.0000 [4 per cell]  4 Nd 3.04, 4 Y 3.04
Nd1 0.2500 0.2500 0.2500 [4 per cell]  4 Co 3.04, 4 Li 3.04
Y1 0.2500 0.2500 0.7500 [4 per cell]  4 Li 3.04, 4 Co 3.04
Co1 0.0000 0.0000 0.5000 [4 per cell]  4 Y 3.04, 4 Nd 3.04

Summary:
V in Å³/cell: 344.9
M_tot in Bohr magnetons per cell: 0.00
Uncorrected energy in eV per atom: -5.071
Energy of formation from the pure elements in eV/atom: -0.008